Crystalline Cs7K3 at its relaxed geometry, computed with PBE-GGA.

space-group type: P6_3mc, No. 186
energy: -0.906 eV/atom
formation enthalpy at 0 K: 20 kJ/mol of formula units

Cell lengths 14.9543, 14.9543, 10.9178 Å; angles 90.00, 90.00, 120.00 degrees
Closest atoms and distances in Å follow each position.
Sites, in units of the cell vectors:
Cs 0.0630 0.5315 0.0000  4 K 4.73-4.89, 1 Cs 5.08
Cs 0.1219 0.2438 0.7328  3 K 5.05-5.23, 5 Cs 5.47-5.62
Cs 0.1219 0.8781 0.7328  3 K 5.05-5.23, 5 Cs 5.47-5.62
Cs 0.2438 0.1219 0.2328  3 K 5.05-5.23, 5 Cs 5.47-5.62
Cs 0.3333 0.6667 0.6630  3 K 4.78, 3 Cs 5.08
Cs 0.4685 0.5315 0.0000  4 K 4.73-4.89, 1 Cs 5.08
Cs 0.4685 0.9370 0.0000  4 K 4.73-4.89, 1 Cs 5.08
Cs 0.5315 0.0630 0.5000  4 K 4.73-4.89, 1 Cs 5.08
Cs 0.5315 0.4685 0.5000  4 K 4.73-4.89, 1 Cs 5.08
Cs 0.6667 0.3333 0.1630  3 K 4.78, 3 Cs 5.08
Cs 0.7562 0.8781 0.7328  3 K 5.05-5.23, 5 Cs 5.47-5.62
Cs 0.8781 0.1219 0.2328  3 K 5.05-5.23, 5 Cs 5.47-5.62
Cs 0.8781 0.7562 0.2328  3 K 5.05-5.23, 5 Cs 5.47-5.62
Cs 0.9370 0.4685 0.5000  4 K 4.73-4.89, 1 Cs 5.08
K 0.2209 0.4418 0.3154  8 Cs 4.73-5.23, 2 K 5.04
K 0.2209 0.7791 0.3154  8 Cs 4.73-5.23, 2 K 5.04
K 0.4418 0.2209 0.8154  8 Cs 4.73-5.23, 2 K 5.04
K 0.5582 0.7791 0.3154  8 Cs 4.73-5.23, 2 K 5.04
K 0.7791 0.2209 0.8154  8 Cs 4.73-5.23, 2 K 5.04
K 0.7791 0.5582 0.8154  8 Cs 4.73-5.23, 2 K 5.04